No. 1
NdBe3Ge3: relaxed, PBE-GGA.

Cell lengths 6.289, 6.289, 6.289 Å; angles 90.00, 90.00, 90.00 degrees
Sites, in units of the cell vectors:
Ge  0.750  0.000  0.500
Ge  0.500  0.750  0.000
Ge  0.500  0.250  0.000
Ge  0.000  0.500  0.250
Ge  0.250  0.000  0.500
Ge  0.000  0.500  0.750
Be  0.000  0.250  0.500
Be  0.000  0.750  0.500
Be  0.500  0.000  0.250
Be  0.750  0.500  0.000
Be  0.250  0.500  0.000
Be  0.500  0.000  0.750
Nd  0.000  0.000  0.000
Nd  0.500  0.500  0.500

Computed properties:
Crystal system   cubic
Energy relative to the elements   0.071 eV/atom
DFT total energy   -58.60 eV for the cell shown

***

No. 2
Tb8ZnGa2: relaxed, PBE-GGA.

Cell lengths 5.044, 6.720, 9.443 Å; angles 101.94, 105.49, 90.00 degrees
Sites, in units of the cell vectors:
Tb  0.204  0.309  0.407
Tb  0.341  0.032  0.681
Tb  0.659  0.968  0.319
Tb  0.796  0.691  0.593
Tb  0.408  0.539  0.816
Tb  0.592  0.461  0.184
Tb  0.976  0.231  0.951
Tb  0.024  0.769  0.049
Ga  0.190  0.746  0.380
Ga  0.810  0.254  0.620
Zn  0.500  0.000  0.000

Computed properties:
Crystal system   monoclinic
Energy relative to the elements   -0.248 eV/atom
DFT total energy   -47.10 eV for the cell shown

***

No. 3
PmEr2S4: relaxed, PBE-GGA.

Cell lengths 3.834, 6.707, 13.129 Å; angles 90.00, 90.00, 106.61 degrees
Sites, in units of the cell vectors:
S  0.773  0.547  0.381
S  0.037  0.075  0.250
S  0.773  0.547  0.119
S  0.227  0.453  0.881
S  0.500  0.000  0.000
S  0.500  0.000  0.500
S  0.227  0.453  0.619
S  0.963  0.925  0.750
Er  0.870  0.740  0.568
Er  0.130  0.260  0.068
Er  0.130  0.260  0.432
Er  0.870  0.740  0.932
Pm  0.625  0.249  0.750
Pm  0.375  0.751  0.250

Computed properties:
Crystal system   orthorhombic
Formation energy (no corrections)   -2067 meV/atom
ΔE to the lowest computed polymorph   0 meV per atom
DFT total energy   -89.71 eV for the cell shown